Nd12Sm2Ho, relaxed, DFT PBE; energy of formation from the pure elements = 0.313 eV per atom; DFT total energy = -133.075 eV/cell; magnetization = 0.0000 μB/atom; mass density = 6.56 g/cm³; density of states at the Fermi level = 40.6 states/eV/cell
1.0
6.594 0.000 0.000
0.000 6.594 0.000
0.000 0.000 25.572
Nd Sm Ho
24 4 2
Cartesian
0.434 3.731 2.894
0.434 6.161 22.678
0.542 3.839 14.379
0.542 6.052 11.193
1.649 1.649 5.475
1.649 1.649 8.620
1.649 1.649 16.952
1.649 1.649 20.096
2.755 3.839 11.193
2.755 6.052 14.379
2.864 3.731 22.678
2.864 6.161 2.894
3.731 0.434 22.678
3.731 2.864 2.894
3.839 0.542 11.193
3.839 2.755 14.379
4.946 4.946 5.475
4.946 4.946 8.620
4.946 4.946 16.952
4.946 4.946 20.096
6.052 0.542 14.379
6.052 2.755 11.193
6.161 0.434 2.894
6.161 2.864 22.678
1.649 4.946 6.864
1.649 4.946 18.708
4.946 1.649 6.864
4.946 1.649 18.708
1.649 4.946 0.000
4.946 1.649 0.000